# LaDyPb2 (GGA-PBE, optimized geometry)
data_LaDyPb2
_chemical_formula_sum 'La1 Dy1 Pb2'
_cell_length_a 4.663
_cell_length_b 4.534
_cell_length_c 6.418
_cell_angle_alpha 90.00
_cell_angle_beta 111.24
_cell_angle_gamma 90.00
_symmetry_space_group_name_H-M 'P 1 m 1'
_symmetry_Int_Tables_number 6
loop_
_symmetry_equiv_pos_as_xyz
'x,y,z'
'x,-y,z'
loop_
_atom_site_label
_atom_site_type_symbol
_atom_site_fract_x
_atom_site_fract_y
_atom_site_fract_z
La1 La 0.000 0.000 0.000
Dy1 Dy 0.262 0.500 0.526
Pb1 Pb 0.537 0.500 0.073
Pb2 Pb 0.729 0.000 0.462
# - Uncorrected energy: -4.7593 eV/atom